A geometry-optimized KRbMoCl6 structure. Source: the Alexandria database, functional PBE-GGA.

Calculated values
- SG = P-31c (163)
- final energy (eV/atom) = -4.03
- formation energy (no corrections) (meV/atom) = -1362.0

Cell: 7.729 7.729 11.612 Å, 90.00 90.00 120.00°
Fractional positions:
K: 0.000 0.000 0.000
K: 0.000 0.000 0.500
Rb: 0.333 0.667 0.250
Rb: 0.667 0.333 0.750
Mo: 0.333 0.667 0.750
Mo: 0.667 0.333 0.250
Cl: 0.084 0.409 0.630
Cl: 0.084 0.675 0.870
Cl: 0.325 0.409 0.870
Cl: 0.325 0.916 0.630
Cl: 0.409 0.084 0.130
Cl: 0.409 0.325 0.370
Cl: 0.591 0.675 0.630
Cl: 0.591 0.916 0.870
Cl: 0.675 0.084 0.370
Cl: 0.675 0.591 0.130
Cl: 0.916 0.325 0.130
Cl: 0.916 0.591 0.370